Entry 1:
This record from Alexandria via LeMat-Bulk describes a relaxed NaBeMo2 crystal. The functional is PBE.

Output
ΔE_f, meV/atom: 1126
N(E_F), states/eV per cell: 6.441
Space-group type: No. 122

Unit cell a=10.1099 b=10.1099 c=10.1099 alpha=158.85 beta=158.85 gamma=30.09
Closest atoms and distances in Å follow each position.
Positions (direct):
Na: 0.0000 0.0000 0.0000  4 Be 2.62, 4 Mo 2.81
Na: 0.7500 0.2500 0.5000  4 Be 2.62, 4 Mo 2.81
Be: 0.2500 0.7500 0.5000  4 Na 2.62, 4 Mo 2.73
Be: 0.5000 0.5000 0.0000  4 Na 2.62, 4 Mo 2.73
Mo: 0.1582 0.6250 0.0332  2 Mo 2.46, 2 Be 2.73
Mo: 0.3750 0.4082 0.5332  2 Mo 2.46, 2 Be 2.73
Mo: 0.5918 0.1250 0.9668  2 Mo 2.46, 2 Be 2.73
Mo: 0.8750 0.8418 0.4668  2 Mo 2.46, 2 Be 2.73



Entry 2:
This record from Alexandria via LeMat-Bulk describes a relaxed BaLa2Br2 crystal. The functional is PBE.

Output
E_form (uncorrected), eV per atom: -0.573
N(E_F), states/eV per cell: 12.491
Space-group type: No. 127
Energy above the most stable polymorph in this dataset, meV/atom: 163

Unit cell a=9.5997 b=9.5997 c=3.5927 alpha=90.00 beta=90.00 gamma=90.00
Closest atoms and distances in Å follow each position.
Positions (direct):
Ba: 0.0000 0.0000 0.0000  2 Ba 3.59, 4 La 3.59
Ba: 0.5000 0.5000 0.0000  2 Ba 3.59, 4 La 3.59
La: 0.1628 0.3372 0.0000  6 Br 3.33-3.37, 2 La 3.59, 2 Ba 3.59
La: 0.3372 0.8372 0.0000  6 Br 3.33-3.37, 2 La 3.59, 2 Ba 3.59
La: 0.6628 0.1628 0.0000  6 Br 3.33-3.37, 2 La 3.59, 2 Ba 3.59
La: 0.8372 0.6628 0.0000  6 Br 3.33-3.37, 2 La 3.59, 2 Ba 3.59
Br: 0.1272 0.6272 0.5000  6 La 3.33-3.37, 3 Br 3.45-3.59
Br: 0.3728 0.1272 0.5000  6 La 3.33-3.37, 3 Br 3.45-3.59
Br: 0.6272 0.8728 0.5000  6 La 3.33-3.37, 3 Br 3.45-3.59
Br: 0.8728 0.3728 0.5000  6 La 3.33-3.37, 3 Br 3.45-3.59



Entry 3:
This record from Alexandria via LeMat-Bulk describes a relaxed NdThIrRh crystal. The functional is PBE.

Output
ΔE_f, meV/atom: -700
N(E_F), states/eV per cell: 2.772
Space-group type: No. 216
Energy above the most stable polymorph in this dataset, meV/atom: 149

Unit cell a=5.0272 b=5.0272 c=5.0272 alpha=60.00 beta=60.00 gamma=60.00
Closest atoms and distances in Å follow each position.
Positions (direct):
Nd: 0.0000 0.0000 0.0000  4 Ir 3.08, 4 Rh 3.08
Th: 0.5000 0.5000 0.5000  4 Rh 3.08, 4 Ir 3.08
Ir: 0.2500 0.2500 0.2500  4 Th 3.08, 4 Nd 3.08
Rh: 0.7500 0.7500 0.7500  4 Th 3.08, 4 Nd 3.08



Entry 4:
This record from Alexandria via LeMat-Bulk describes a relaxed Th4GePS2 crystal. The functional is PBE.

Output
E_form (uncorrected), eV per atom: -1.519
N(E_F), states/eV per cell: 5.476
Space-group type: No. 10

Unit cell a=7.1060 b=4.1673 c=7.2103 alpha=90.00 beta=109.88 gamma=90.00
Closest atoms and distances in Å follow each position.
Positions (direct):
Th: 0.2460 0.0000 0.2433  3 S 2.90-2.95, 1 P 2.91, 2 Ge 2.96
Th: 0.2507 0.5000 0.7550  3 S 2.90-2.94, 2 P 2.91, 1 Ge 2.96
Th: 0.7493 0.5000 0.2450  3 S 2.90-2.94, 2 P 2.91, 1 Ge 2.96
Th: 0.7540 0.0000 0.7567  3 S 2.90-2.95, 1 P 2.91, 2 Ge 2.96
Ge: 0.5000 0.5000 0.5000  6 Th 2.96
P: 0.5000 0.0000 0.0000  6 Th 2.91
S: 0.0000 0.0000 0.5000  6 Th 2.94-2.95
S: 0.0000 0.5000 0.0000  6 Th 2.90



Entry 5:
This record from Alexandria via LeMat-Bulk describes a relaxed La4CrCd crystal. The functional is PBE.

Output
ΔE_f, meV/atom: 540
N(E_F), states/eV per cell: 8.854
Space-group type: No. 216

Unit cell a=6.5015 b=6.5015 c=6.5015 alpha=60.00 beta=60.00 gamma=60.00
Closest atoms and distances in Å follow each position.
Positions (direct):
La: 0.1250 0.1250 0.1250  6 La 3.25
La: 0.1250 0.1250 0.6249  6 La 3.25
La: 0.1250 0.6249 0.1250  6 La 3.25
La: 0.6249 0.1250 0.1250  6 La 3.25
Cr: 0.5000 0.5000 0.5000  12 La 3.81, 4 Cd 3.98
Cd: 0.7500 0.7500 0.7500  12 La 3.81, 4 Cr 3.98



Entry 6:
This record from Alexandria via LeMat-Bulk describes a relaxed Ac2Pm3Pt4 crystal. The functional is PBE.

Output
ΔE_f, meV/atom: -952
N(E_F), states/eV per cell: 12.363
Space-group type: No. 64
Energy above the most stable polymorph in this dataset, meV/atom: 128

Unit cell a=9.0707 b=9.0707 c=8.0219 alpha=90.00 beta=90.00 gamma=130.61
Closest atoms and distances in Å follow each position.
Positions (direct):
Ac: 0.1017 0.8983 0.9022  5 Pt 3.17-3.55
Ac: 0.3983 0.6017 0.4022  5 Pt 3.17-3.55
Ac: 0.6017 0.3983 0.5978  5 Pt 3.17-3.55
Ac: 0.8983 0.1017 0.0978  5 Pt 3.17-3.55
Pm: 0.0000 0.0000 0.5000  4 Pt 2.82
Pm: 0.0399 0.4601 0.7500  5 Pt 2.90-3.08
Pm: 0.4601 0.0399 0.2500  5 Pt 2.90-3.08
Pm: 0.5000 0.5000 0.0000  4 Pt 2.82
Pm: 0.5399 0.9601 0.7500  5 Pt 2.90-3.08
Pm: 0.9601 0.5399 0.2500  5 Pt 2.90-3.08
Pt: 0.1945 0.8055 0.5513  5 Pm 2.93-3.23, 1 Ac 3.20
Pt: 0.2161 0.2839 0.7500  3 Pm 2.82-2.90
Pt: 0.2839 0.2161 0.2500  3 Pm 2.82-2.90
Pt: 0.3055 0.6945 0.0513  5 Pm 2.93-3.23, 1 Ac 3.20
Pt: 0.6945 0.3055 0.9487  5 Pm 2.93-3.23, 1 Ac 3.20
Pt: 0.7161 0.7839 0.7500  3 Pm 2.82-2.90
Pt: 0.7839 0.7161 0.2500  3 Pm 2.82-2.90
Pt: 0.8055 0.1945 0.4487  5 Pm 2.93-3.23, 1 Ac 3.20



Entry 7:
This record from Alexandria via LeMat-Bulk describes a relaxed CsCaRhF6 crystal. The functional is PBE.

Output
E_form (uncorrected), eV per atom: -2.655
Space-group type: No. 74

Unit cell a=7.8396 b=7.8396 c=7.8396 alpha=121.63 beta=118.67 gamma=89.76
Closest atoms and distances in Å follow each position.
Positions (direct):
Cs: 0.3768 0.1268 0.2500  5 F 3.14-3.32
Cs: 0.6232 0.8732 0.7500  5 F 3.14-3.32
Ca: 0.0000 0.5000 0.5000  6 F 2.24-2.27
Ca: 0.5000 0.5000 0.0000  6 F 2.24-2.27
Rh: 0.0000 0.0000 0.5000  6 F 2.01-2.02
Rh: 0.0000 0.5000 0.0000  6 F 2.01-2.02
F: 0.0582 0.4059 0.2104  1 Rh 2.01
F: 0.0582 0.8478 0.6523  1 Rh 2.01
F: 0.0586 0.8086 0.2500  2 Rh 2.02
F: 0.3045 0.1522 0.7104  1 Rh 2.01
F: 0.3045 0.5941 0.1523  1 Rh 2.01
F: 0.3402 0.5902 0.7500  2 Ca 2.24
F: 0.6598 0.4098 0.2500  2 Ca 2.24
F: 0.6955 0.4059 0.8477  1 Rh 2.01
F: 0.6955 0.8478 0.2896  1 Rh 2.01
F: 0.9414 0.1914 0.7500  2 Rh 2.02
F: 0.9418 0.1522 0.3477  1 Rh 2.01
F: 0.9418 0.5941 0.7896  1 Rh 2.01



Entry 8:
This record from Alexandria via LeMat-Bulk describes a relaxed AcTeAu2 crystal. The functional is PBE.

Output
E_form (uncorrected), eV per atom: -0.690
N(E_F), states/eV per cell: 1.618
Space-group type: No. 225
Energy above the most stable polymorph in this dataset, meV/atom: 0

Unit cell a=5.3249 b=5.3249 c=5.3249 alpha=60.00 beta=60.00 gamma=60.00
Closest atoms and distances in Å follow each position.
Positions (direct):
Ac: 0.0000 0.0000 0.0000  8 Au 3.26
Te: 0.5000 0.5000 0.5000  8 Au 3.26
Au: 0.2500 0.2500 0.2500  4 Te 3.26, 4 Ac 3.26
Au: 0.7500 0.7500 0.7500  4 Te 3.26, 4 Ac 3.26



Listing total moment for the structures above in their given order: 0.00 0.00 0.00 0.00 4.45 0.00 0.00 0.00 μB/cell.